First-principles (PBE) data for crystalline AcTlAu at its relaxed geometry, as listed in the Alexandria database.

Computed properties:
Uncorrected energy = -3.687 eV/atom
Distance to the lowest polymorph of the same formula = 0.179 eV/atom
Energy of formation from the pure elements = -0.44 eV/atom

```
AcTlAu
1.0
-1.948 1.948 5.807
1.948 -1.948 5.807
1.948 1.948 -5.807
Ac Tl Au
1 1 1
Cartesian
0.000 0.000 0.000 Ac
0.000 0.000 8.141 Tl
0.000 0.000 4.046 Au
```

---

First-principles (PBE) data for crystalline LaCoMo3 at its relaxed geometry, as listed in the Alexandria database.

Computed properties:
Uncorrected energy = -6.362 eV/atom
Distance to the lowest polymorph of the same formula = 1.626 eV/atom
Energy of formation from the pure elements = 2.54 eV/atom

```
LaCoMo3
1.0
4.703 0.000 0.000
0.000 4.703 0.000
0.000 0.000 4.703
La Co Mo
1 1 3
Cartesian
0.000 0.000 0.000 La
2.352 2.352 2.352 Co
0.000 0.000 2.352 Mo
0.000 2.352 0.000 Mo
2.352 0.000 0.000 Mo
```

---

First-principles (PBE) data for crystalline Zr3P5Ru6 at its relaxed geometry, as listed in the Alexandria database.

Computed properties:
Uncorrected energy = -8.615 eV/atom
Energy of formation from the pure elements = -0.88 eV/atom

```
Zr3P5Ru6
1.0
3.883 0.000 0.000
0.000 12.072 0.000
0.000 0.000 9.123
Zr P Ru
6 10 12
Cartesian
0.971 1.170 2.236 Zr
0.971 4.866 2.236 Zr
0.971 9.054 2.410 Zr
2.912 3.018 6.713 Zr
2.912 7.206 6.888 Zr
2.912 10.902 6.888 Zr
0.971 0.923 7.733 P
0.971 5.113 7.733 P
0.971 7.625 4.797 P
0.971 9.054 8.007 P
0.971 10.483 4.797 P
2.912 1.589 4.326 P
2.912 3.018 1.117 P
2.912 4.447 4.326 P
2.912 6.959 1.391 P
2.912 11.149 1.391 P
0.971 0.604 5.438 Ru
0.971 3.018 4.348 Ru
0.971 3.018 8.926 Ru
0.971 5.432 5.438 Ru
0.971 7.033 0.109 Ru
0.971 11.075 0.109 Ru
2.912 0.997 9.014 Ru
2.912 5.039 9.014 Ru
2.912 6.640 3.685 Ru
2.912 9.054 0.197 Ru
2.912 9.054 4.776 Ru
2.912 11.468 3.685 Ru
```

---

First-principles (PBE) data for crystalline Li3Sc3PdO8 at its relaxed geometry, as listed in the Alexandria database.

Computed properties:
Uncorrected energy = -7.084 eV/atom
Uncorrected formation energy = -2.445 eV per atom

```
Li3Sc3PdO8
1.0
3.106 1.793 4.941
-3.106 1.793 4.941
0.000 -3.587 4.941
Li Sc Pd O
3 3 1 8
Cartesian
-1.553 -0.897 4.941 Li
-1.553 0.897 9.883 Li
0.000 1.793 4.941 Li
-3.106 0.000 7.412 Sc
-1.553 0.897 2.471 Sc
1.553 0.897 2.471 Sc
0.000 0.000 7.412 Pd
0.000 0.000 3.575 O
-1.492 -0.861 8.532 O
0.000 -1.723 6.292 O
-1.492 0.861 6.292 O
1.492 -0.861 8.532 O
0.000 1.723 8.532 O
1.492 0.861 6.292 O
0.000 0.000 11.249 O
```

---

First-principles (PBE) data for crystalline BaLiAcZn at its relaxed geometry, as listed in the Alexandria database.

Computed properties:
Uncorrected energy = -2.318 eV/atom
Energy of formation from the pure elements = -0.01 eV/atom

```
BaLiAcZn
1.0
0.000 4.076 4.076
4.076 0.000 4.076
4.076 4.076 0.000
Ba Li Ac Zn
1 1 1 1
Cartesian
0.000 0.000 0.000 Ba
2.038 2.038 2.038 Li
4.076 4.076 4.076 Ac
6.115 6.115 6.115 Zn
```

---

First-principles (PBE) data for crystalline TeIrBr2 at its relaxed geometry, as listed in the Alexandria database.

Computed properties:
Uncorrected energy = -3.455 eV/atom
Uncorrected formation energy = 0.382 eV per atom

```
TeIrBr2
1.0
1.828 1.056 9.201
-1.828 1.056 9.201
0.000 -2.111 9.201
Te Ir Br
1 1 2
Cartesian
0.000 0.000 0.000 Te
0.000 0.000 13.802 Ir
0.000 0.000 6.022 Br
0.000 0.000 21.582 Br
```